Record 1
Computed, not measured: CsCrNO2 after structural relaxation at the PBE with a Hubbard U level of DFT.

```
CsCrNO2
1.0
4.336 0.000 0.000
0.000 4.336 0.000
0.000 0.000 4.640
Cs Cr N O
1 1 1 2
Cartesian
0.000 0.000 0.000
2.168 2.168 2.320
0.000 0.000 2.320
0.000 2.168 0.000
2.168 0.000 0.000
```

Record 2
Computed, not measured: CsCrNO2 after structural relaxation at the PBE with a Hubbard U level of DFT.

```
CsCrNO2
1.0
4.001 0.000 0.000
0.000 4.001 0.000
0.000 0.000 3.921
Cs Cr N O
1 1 1 2
Cartesian
0.000 0.000 0.000
2.001 2.001 1.960
2.001 2.001 0.000
0.000 2.001 1.960
2.001 0.000 1.960
```

Record 3
Computed, not measured: CsCrN2O after structural relaxation at the PBE with a Hubbard U level of DFT.

```
CsCrN2O
1.0
4.472 0.000 0.000
0.000 4.472 0.000
0.000 0.000 4.384
Cs Cr N O
1 1 2 1
Cartesian
0.000 0.000 0.000
2.236 2.236 2.192
0.000 2.236 0.000
2.236 0.000 0.000
0.000 0.000 2.192
```

Q: Which electronic total energy values were calculated for the entries above? A: -19.513; -26.954; -18.839, in eV per cell.
Q: Which Fermi-level density of states values were calculated for the entries above? A: 3.24; 3.95; 4.40, in states/eV/cell.